First-principles (PBE) data for an optimized crystal structure of NaCu3Sb2, as listed in Alexandria.

Cell and atoms, written as POSCAR:
```
NaCu3Sb2
1.0
8.0690 -2.0892 0.0000
8.0690 2.0892 0.0000
-2.8347 0.0000 7.3673
Na Cu Sb
2 6 4
Direct
0.1538 0.1538 0.0649 Na
0.8462 0.8462 0.9351 Na
0.0374 0.0374 0.3901 Cu
0.3040 0.3040 0.5263 Cu
0.4219 0.4219 0.3756 Cu
0.5781 0.5781 0.6244 Cu
0.6960 0.6960 0.4737 Cu
0.9626 0.9626 0.6099 Cu
0.1879 0.1879 0.6892 Sb
0.4645 0.4645 0.8000 Sb
0.5355 0.5355 0.2000 Sb
0.8121 0.8121 0.3108 Sb
```

Results
symmetry	C2/m (12)

=====

First-principles (PBE) data for an optimized crystal structure of Li5Cu4Rh2, as listed in Alexandria.

Cell and atoms, written as POSCAR:
```
Li5Cu4Rh2
1.0
4.5598 0.0000 0.0000
0.0000 15.1038 0.0000
0.0000 0.0000 4.3506
Li Cu Rh
10 8 4
Direct
0.0000 0.0000 0.0000 Li
0.0175 0.2052 0.0000 Li
0.0229 0.3885 0.0000 Li
0.4771 0.8885 0.0000 Li
0.4825 0.7052 0.0000 Li
0.5000 0.5000 0.0000 Li
0.5175 0.2948 0.0000 Li
0.5229 0.1115 0.0000 Li
0.9771 0.6115 0.0000 Li
0.9825 0.7948 0.0000 Li
0.2098 0.1206 0.5000 Cu
0.2308 0.4593 0.5000 Cu
0.2692 0.9593 0.5000 Cu
0.2902 0.6206 0.5000 Cu
0.7098 0.3794 0.5000 Cu
0.7308 0.0407 0.5000 Cu
0.7692 0.5407 0.5000 Cu
0.7902 0.8794 0.5000 Cu
0.2038 0.2924 0.5000 Rh
0.2962 0.7924 0.5000 Rh
0.7038 0.2076 0.5000 Rh
0.7962 0.7076 0.5000 Rh
```

Results
formation energy	-0.124	eV/atom
symmetry	Pbam (55)

=====

First-principles (PBE) data for an optimized crystal structure of Ag6PtAu8, as listed in Alexandria.

Cell and atoms, written as POSCAR:
```
Ag6PtAu8
1.0
3.8666 2.2324 5.6032
-3.8666 2.2324 5.6032
0.0000 -4.4648 5.6032
Ag Pt Au
6 1 8
Direct
0.1284 0.4206 0.8321 Ag
0.1679 0.8716 0.5794 Ag
0.4206 0.8321 0.1284 Ag
0.5794 0.1679 0.8716 Ag
0.8321 0.1284 0.4206 Ag
0.8716 0.5794 0.1679 Ag
0.5000 0.5000 0.5000 Pt
0.0765 0.6779 0.3636 Au
0.2553 0.2553 0.2553 Au
0.3221 0.6364 0.9235 Au
0.3636 0.0765 0.6779 Au
0.6364 0.9235 0.3221 Au
0.6779 0.3636 0.0765 Au
0.7447 0.7447 0.7447 Au
0.9235 0.3221 0.6364 Au
```

Results
formation energy	0.116	eV/atom
symmetry	R-3 (148)
offset from the most stable computed form	0.093	eV/atom

=====

| no. | total DFT energy (no corrections) (hartree per atom) | DOS at the Fermi energy (states/eV per cell) | density (g cm⁻³) |
| --- | --- | --- | --- |
| 1 | -0.13683 | 3.57 | 6.1 |
| 2 | -0.14039 | 9.31 | 5.5 |
| 3 | -0.11667 | 7.28 | 13.8 |